# 1
DFT (GGA-PBE) results for crystalline Cu2BrCl at its relaxed geometry.

abc: 3.535 7.194 3.514
angles: 90.00 90.00 90.00
Sites, in units of the cell vectors:
Cl (0.000, 0.500, 0.500)
Cu (0.500, 0.500, 0.000)
Br (0.500, 0.000, 0.500)
Cu (0.000, 0.000, 0.000)

Summary:
total energy	-3.00	eV per atom
calculated volume	89.3	Å³ per cell
ΔE_f (raw)	-0.067	eV/atom
distance to the lowest polymorph of the same formula	237	meV/atom

---

# 2
DFT (GGA-PBE) results for crystalline YCd2RhO6 at its relaxed geometry.

abc: 5.617 5.711 8.085
angles: 90.00 90.24 90.00
Last column: magnetic moment on the atom in μB.
Sites, in units of the cell vectors:
O (0.666, 0.292, 0.565)  0.16
O (0.206, 0.174, 0.445)  0.14
O (0.611, 0.060, 0.268)  0.10
O (0.166, 0.208, 0.065)  0.16
Y (0.000, 0.500, 0.500)  0.00
O (0.334, 0.708, 0.435)  0.16
O (0.294, 0.674, 0.055)  0.14
Y (0.500, 0.000, 0.000)  0.00
O (0.389, 0.940, 0.732)  0.10
Rh (0.000, 0.500, 0.000)  1.03
Cd (0.005, 0.955, 0.252)  0.01
O (0.834, 0.792, 0.935)  0.16
O (0.111, 0.440, 0.768)  0.10
Cd (0.495, 0.455, 0.248)  0.01
O (0.889, 0.560, 0.232)  0.10
O (0.706, 0.326, 0.945)  0.14
O (0.794, 0.826, 0.555)  0.14
Cd (0.995, 0.045, 0.748)  0.01
Rh (0.500, 0.000, 0.500)  1.03
Cd (0.505, 0.545, 0.752)  0.01

Summary:
total energy	-5.99	eV per atom
calculated volume	259.4	Å³ per cell
ΔE_f (raw)	-1.451	eV/atom

---

# 3
DFT (GGA-PBE) results for crystalline KNi at its relaxed geometry.

abc: 3.053 3.053 5.228
angles: 90.00 90.00 120.00
Last column: magnetic moment on the atom in μB.
Sites, in units of the cell vectors:
Ni (0.667, 0.333, 0.500)  0.37
K (0.000, 0.000, 0.000)  -0.01

Summary:
total energy	-2.41	eV per atom
formation energy	1.03	eV per atom
calculated volume	42.2	Å³ per cell
distance to the lowest polymorph of the same formula	521	meV/atom

---

# 4
DFT (GGA-PBE) results for crystalline La2CdGa4Ir3 at its relaxed geometry.

abc: 4.287 4.287 10.935
angles: 90.00 90.00 90.00
Sites, in units of the cell vectors:
Ga (0.500, 0.500, 0.000)
Ir (0.500, 0.000, 0.871)
La (0.500, 0.000, 0.237)
La (0.000, 0.500, 0.763)
Ga (0.000, 0.500, 0.359)
Ga (0.500, 0.000, 0.641)
Cd (0.500, 0.500, 0.500)
Ir (0.000, 0.000, 0.500)
Ir (0.000, 0.500, 0.129)
Ga (0.000, 0.000, 0.000)

Summary:
total energy	-5.55	eV per atom
formation energy	-0.61	eV per atom
calculated volume	200.9	Å³ per cell

---

# 5
DFT (GGA-PBE) results for crystalline BaTmBi at its relaxed geometry.

abc: 4.915 5.297 5.297
angles: 120.00 90.00 90.00
Sites, in units of the cell vectors:
Ba (0.667, 0.667, 0.333)
Tm (0.167, 0.333, 0.667)
Bi (0.166, 0.000, 0.000)

Summary:
total energy	-3.84	eV per atom
formation energy	-0.42	eV per atom
calculated volume	119.4	Å³ per cell
distance to the lowest polymorph of the same formula	0	meV/atom

---

# 6
DFT (GGA-PBE) results for crystalline CsI2Cl4 at its relaxed geometry.

abc: 5.582 9.290 5.582
angles: 100.77 90.04 79.23
Sites, in units of the cell vectors:
Cl (0.080, 0.743, 0.421)
I (0.415, 0.274, 0.585)
Cs (0.000, 0.000, 0.000)
Cl (0.920, 0.257, 0.579)
I (0.585, 0.726, 0.415)
Cl (0.421, 0.257, 0.080)
Cl (0.579, 0.743, 0.920)

Summary:
total energy	-2.22	eV per atom
calculated volume	279.2	Å³ per cell
ΔE_f (raw)	-0.600	eV/atom
distance to the lowest polymorph of the same formula	104	meV/atom

---

# 7
DFT (GGA-PBE) results for crystalline Y2TcHgC at its relaxed geometry.

abc: 5.008 5.008 4.002
angles: 90.00 90.00 90.00
Sites, in units of the cell vectors:
Hg (0.500, 0.500, 0.500)
C (0.000, 0.000, 0.000)
Y (0.500, 0.000, 0.000)
Y (0.000, 0.500, 0.000)
Tc (0.000, 0.000, 0.500)

Summary:
total energy	-6.94	eV per atom
formation energy	-0.37	eV per atom
calculated volume	100.4	Å³ per cell

---

no.,total moment (μB per formula unit),mass density (Mg/m³)
1,0.00,4.5
2,2.05,6.6
3,0.29,3.8
4,0.00,10.3
5,0.00,7.2
6,0.00,3.1
7,0.00,8.1